1.
TcRh2W | meta-GGA SCAN | single point on PBEsol structure

Results
- Offset from the most stable computed form: 0.00 kJ/mol of atoms
- Calculated volume: 56 Å³/cell
- Formation energy from the elements: -0.23 eV/atom
- DOS at the Fermi energy: 2.154 states/eV/f.u.
- Magnetization: 0.00 μB per cell

Cell lengths 2.702, 4.353, 4.754 Å; angles 90.00, 90.00, 90.00 degrees
Space group Pmm2 (No. 25)
Symmetry-distinct sites (fractional):
Tc  0.000  0.000  0.000 (multiplicity 1)
Rh  0.500  0.000  0.495 (multiplicity 1)
Rh  0.500  0.500  0.157 (multiplicity 1)
W  0.000  0.500  0.666 (multiplicity 1)

2.
Tc2RhW | meta-GGA SCAN | single point on PBEsol structure

Results
- Offset from the most stable computed form: 4.76 kJ/mol of atoms
- Calculated volume: 57 Å³/cell
- Formation energy from the elements: -0.02 eV/atom
- DOS at the Fermi energy: 3.401 states/eV/f.u.
- Magnetization: 0.00 μB per cell

Cell lengths 4.723, 2.710, 4.727 Å; angles 90.00, 109.57, 90.00 degrees
Space group P2/m (No. 10)
Symmetry-distinct sites (fractional):
Tc  0.000  0.000  0.000 (multiplicity 1)
Tc  0.000  0.500  0.500 (multiplicity 1)
Rh  0.500  0.000  0.500 (multiplicity 1)
W  0.500  0.500  0.000 (multiplicity 1)

3.
TcRh2W | meta-GGA SCAN | single point on PBEsol structure

Results
- Offset from the most stable computed form: 3.79 kJ/mol of atoms
- Calculated volume: 56 Å³/cell
- Formation energy from the elements: -0.19 eV/atom
- DOS at the Fermi energy: 3.128 states/eV/f.u.
- Magnetization: 0.00 μB per cell

Cell lengths 3.797, 3.797, 3.882 Å; angles 90.00, 90.00, 90.00 degrees
Space group P4/mmm (No. 123)
Symmetry-distinct sites (fractional):
Tc  0.000  0.000  0.000 (multiplicity 1)
Rh  0.000  0.500  0.500 (multiplicity 2)
W  0.500  0.500  0.000 (multiplicity 1)

4.
Tc2RhW | meta-GGA SCAN | single point on PBEsol structure

Results
- Offset from the most stable computed form: 22.36 kJ/mol of atoms
- Calculated volume: 115 Å³/cell
- Formation energy from the elements: 0.16 eV/atom
- DOS at the Fermi energy: 3.999 states/eV/f.u.
- Magnetization: 0.00 μB per cell

Cell lengths 5.275, 8.971, 2.646 Å; angles 90.00, 113.04, 90.00 degrees
Space group C2/m (No. 12)
Symmetry-distinct sites (fractional):
Tc  0.250  0.250  0.000 (multiplicity 4)
Rh  0.000  0.000  0.500 (multiplicity 2)
W  0.000  0.500  0.500 (multiplicity 2)

5.
TcRhW | meta-GGA SCAN | single point on PBEsol structure

Results
- Offset from the most stable computed form: 0.00 kJ/mol of atoms
- Calculated volume: 204 Å³/cell
- Formation energy from the elements: 0.69 eV/atom
- DOS at the Fermi energy: 4.336 states/eV/f.u.
- Magnetization: 0.00 μB per cell

Cell lengths 5.884, 5.884, 5.884 Å; angles 90.00, 90.00, 90.00 degrees
Space group F-43m (No. 216)
Symmetry-distinct sites (fractional):
Tc  0.000  0.000  0.000 (multiplicity 4)
Rh  0.250  0.250  0.250 (multiplicity 4)
W  0.250  0.250  0.750 (multiplicity 4)

6.
TcRh2W | meta-GGA SCAN | single point on PBEsol structure

Results
- Offset from the most stable computed form: 10.31 kJ/mol of atoms
- Calculated volume: 56 Å³/cell
- Formation energy from the elements: -0.12 eV/atom
- DOS at the Fermi energy: 3.323 states/eV/f.u.
- Magnetization: 0.00 μB per cell

Cell lengths 2.689, 2.689, 7.756 Å; angles 90.00, 90.00, 90.00 degrees
Space group P4/mmm (No. 123)
Symmetry-distinct sites (fractional):
Tc  0.000  0.000  0.000 (multiplicity 1)
Rh  0.500  0.500  0.246 (multiplicity 2)
W  0.000  0.000  0.500 (multiplicity 1)

7.
Tc2RhW | meta-GGA SCAN | single point on PBEsol structure

Results
- Offset from the most stable computed form: 1.68 kJ/mol of atoms
- Calculated volume: 114 Å³/cell
- Formation energy from the elements: -0.05 eV/atom
- DOS at the Fermi energy: 3.078 states/eV/f.u.
- Magnetization: 0.00 μB per cell

Cell lengths 3.850, 3.850, 7.681 Å; angles 90.00, 90.00, 90.00 degrees
Space group I-4m2 (No. 119)
Symmetry-distinct sites (fractional):
Tc  0.000  0.000  0.000 (multiplicity 2)
Tc  0.000  0.500  0.250 (multiplicity 2)
Rh  0.000  0.500  0.750 (multiplicity 2)
W  0.000  0.000  0.500 (multiplicity 2)

8.
TcRh2W | meta-GGA SCAN | single point on PBEsol structure

Results
- Offset from the most stable computed form: 4.16 kJ/mol of atoms
- Calculated volume: 112 Å³/cell
- Formation energy from the elements: -0.19 eV/atom
- DOS at the Fermi energy: 2.472 states/eV/f.u.
- Magnetization: 0.00 μB per cell

Cell lengths 3.798, 3.798, 7.765 Å; angles 90.00, 90.00, 90.00 degrees
Space group I4/mmm (No. 139)
Symmetry-distinct sites (fractional):
Tc  0.000  0.000  0.000 (multiplicity 2)
Rh  0.000  0.500  0.250 (multiplicity 4)
W  0.000  0.000  0.500 (multiplicity 2)

9.
TcRh2W | meta-GGA SCAN | single point on PBEsol structure

Results
- Offset from the most stable computed form: 7.74 kJ/mol of atoms
- Calculated volume: 112 Å³/cell
- Formation energy from the elements: -0.15 eV/atom
- DOS at the Fermi energy: 3.041 states/eV/f.u.
- Magnetization: 0.00 μB per cell

Cell lengths 5.367, 7.762, 2.692 Å; angles 90.00, 90.00, 90.00 degrees
Space group Cmmm (No. 65)
Symmetry-distinct sites (fractional):
Tc  0.000  0.000  0.000 (multiplicity 2)
Rh  0.250  0.250  0.500 (multiplicity 4)
W  0.000  0.500  0.000 (multiplicity 2)

10.
TcRh2W | meta-GGA SCAN | single point on PBEsol structure

Results
- Offset from the most stable computed form: 8.13 kJ/mol of atoms
- Calculated volume: 56 Å³/cell
- Formation energy from the elements: -0.15 eV/atom
- DOS at the Fermi energy: 2.952 states/eV/f.u.
- Magnetization: 0.00 μB per cell

Cell lengths 2.691, 3.876, 5.378 Å; angles 90.00, 90.00, 90.00 degrees
Space group Pmmm (No. 47)
Symmetry-distinct sites (fractional):
Tc  0.000  0.000  0.000 (multiplicity 1)
Rh  0.500  0.500  0.245 (multiplicity 2)
W  0.000  0.000  0.500 (multiplicity 1)

11.
Tc2RhW | meta-GGA SCAN | single point on PBEsol structure

Results
- Offset from the most stable computed form: 6.67 kJ/mol of atoms
- Calculated volume: 114 Å³/cell
- Formation energy from the elements: 0.00 eV/atom
- DOS at the Fermi energy: 3.142 states/eV/f.u.
- Magnetization: 0.00 μB per cell

Cell lengths 3.841, 3.841, 7.731 Å; angles 90.00, 90.00, 90.00 degrees
Space group I4/mmm (No. 139)
Symmetry-distinct sites (fractional):
Tc  0.000  0.500  0.250 (multiplicity 4)
Rh  0.000  0.000  0.000 (multiplicity 2)
W  0.000  0.000  0.500 (multiplicity 2)

12.
Tc2RhW | meta-GGA SCAN | single point on PBEsol structure

Results
- Offset from the most stable computed form: 23.37 kJ/mol of atoms
- Calculated volume: 58 Å³/cell
- Formation energy from the elements: 0.17 eV/atom
- DOS at the Fermi energy: 5.716 states/eV/f.u.
- Magnetization: 0.01 μB per cell

Cell lengths 3.193, 3.193, 5.667 Å; angles 90.00, 90.00, 90.00 degrees
Space group P4/mmm (No. 123)
Symmetry-distinct sites (fractional):
Tc  0.000  0.000  0.249 (multiplicity 2)
Rh  0.500  0.500  0.500 (multiplicity 1)
W  0.500  0.500  0.000 (multiplicity 1)